No. 1
Computed, not measured: a relaxed DyTlVO4 crystal at the PBE+U level of DFT.

a = 6.0521 Å, b = 5.9210 Å, c = 7.5744 Å
α = 90.00°, β = 104.64°, γ = 90.00°
With the nearest neighbours (Å) after each atom.
Atoms (fractional coordinates):
Dy  0.1765  0.2500  0.0545  6 O 2.25-2.48
Dy  0.8235  0.7500  0.9455  6 O 2.25-2.48
Tl  0.2809  0.2500  0.5893  1 O 2.57
Tl  0.7191  0.7500  0.4107  1 O 2.57
V  0.3029  0.7500  0.8576  4 O 1.75-1.90
V  0.6971  0.2500  0.1424  4 O 1.75-1.90
O  0.0765  0.5246  0.8446  1 V 1.90
O  0.0765  0.9754  0.8446  1 V 1.90
O  0.4872  0.7500  0.0764  1 V 1.75
O  0.4880  0.7500  0.7079  1 V 1.78
O  0.5120  0.2500  0.2921  1 V 1.78
O  0.5128  0.2500  0.9236  1 V 1.75
O  0.9235  0.0246  0.1554  1 V 1.90
O  0.9235  0.4754  0.1554  1 V 1.90

***

No. 2
Computed, not measured: a relaxed Dy2Tl2VO6 crystal at the PBE+U level of DFT.

a = 5.7512 Å, b = 5.7512 Å, c = 6.7483 Å
α = 97.49°, β = 97.49°, γ = 119.55°
With the nearest neighbours (Å) after each atom.
Atoms (fractional coordinates):
Dy  0.1652  0.8348  0.0000  6 O 2.28-2.30
Dy  0.8348  0.1652  0.0000  6 O 2.28-2.30
Tl  0.3374  0.6626  0.5000  6 O 2.82-3.14
Tl  0.6626  0.3374  0.5000  6 O 2.82-3.14
V  0.5000  0.5000  0.0000  6 O 2.00-2.05
O  0.1545  0.4536  0.8429  1 V 2.00
O  0.2529  0.2529  0.1697  1 V 2.05
O  0.4536  0.1545  0.8429  1 V 2.00
O  0.5464  0.8455  0.1571  1 V 2.00
O  0.7471  0.7471  0.8303  1 V 2.05
O  0.8455  0.5464  0.1571  1 V 2.00

***

No. 3
Computed, not measured: a relaxed DyTl2WO8 crystal at the PBE+U level of DFT.

a = 5.0867 Å, b = 6.7493 Å, c = 5.0894 Å
α = 90.00°, β = 91.32°, γ = 90.00°
With the nearest neighbours (Å) after each atom.
Atoms (fractional coordinates):
Dy  0.0000  0.0000  0.0000  6 O 2.18-2.33
Tl  0.5000  0.2528  0.5000  6 O 2.19-2.35
Tl  0.5000  0.7472  0.5000  6 O 2.19-2.35
W  0.0000  0.5000  0.0000  6 O 1.94-2.00
O  0.1788  0.2863  0.8224  1 W 1.94
O  0.1788  0.7137  0.8224  1 W 1.94
O  0.2803  0.5000  0.2816  1 W 2.00
O  0.3049  0.0000  0.3068  1 Dy 2.18, 2 Tl 2.19
O  0.6951  0.0000  0.6932  1 Dy 2.18, 2 Tl 2.19
O  0.7197  0.5000  0.7184  1 W 2.00
O  0.8212  0.2863  0.1776  1 W 1.94
O  0.8212  0.7137  0.1776  1 W 1.94

***

No. 4
Computed, not measured: a relaxed DyTl2WO6 crystal at the PBE+U level of DFT.

a = 5.9531 Å, b = 5.9487 Å, c = 10.2924 Å
α = 90.00°, β = 125.25°, γ = 90.00°
With the nearest neighbours (Å) after each atom.
Atoms (fractional coordinates):
Dy  0.0000  0.0000  0.0000  6 O 2.28
Dy  0.0000  0.5000  0.5000  6 O 2.28
Tl  0.2528  0.0066  0.7504  8 O 2.71-3.03
Tl  0.2528  0.4934  0.2504  8 O 2.71-3.03
Tl  0.7472  0.5066  0.7496  8 O 2.71-3.03
Tl  0.7472  0.9934  0.2496  8 O 2.71-3.03
W  0.5000  0.0000  0.5000  6 O 1.96
W  0.5000  0.5000  0.0000  6 O 1.96
O  0.2216  0.0031  0.2691  1 W 1.96
O  0.2216  0.4969  0.7691  1 W 1.96
O  0.2771  0.7146  0.0247  1 W 1.96
O  0.2771  0.7854  0.5247  1 W 1.96
O  0.3116  0.2495  0.5242  1 W 1.96
O  0.3116  0.2505  0.0242  1 W 1.96
O  0.6884  0.7495  0.9758  1 W 1.96
O  0.6884  0.7505  0.4758  1 W 1.96
O  0.7229  0.2146  0.4753  1 W 1.96
O  0.7229  0.2854  0.9753  1 W 1.96
O  0.7784  0.5031  0.2309  1 W 1.96
O  0.7784  0.9969  0.7309  1 W 1.96

***

In order of appearance, electronic total energy = -7.083, -6.888, -6.268, -6.546 eV/atom.